4
Lattice="-1.073 1.586 -2.670 -5.251 0.891 2.639 4.551 4.498 0.843" Properties=species:S:1:pos:R:3 comment="Sb2PbBr, PBEsol geometry, DFT meta-GGA SCAN" e_above_lowest_polymorph_mev_per_atom=188 spacegroup="Cmmm, No. 65" pbc="T T T"
Pb -3.162 1.238 -0.016
Sb 2.275 2.249 0.422
Sb -0.350 2.694 1.741
Br -0.536 0.793 -1.335



5
Lattice="-3.878 1.802 1.432 -1.676 -0.289 -4.177 0.061 -7.858 2.953" Properties=species:S:1:pos:R:3 comment="Sb2Pb2Br, PBEsol geometry, DFT meta-GGA SCAN" spacegroup="I4/mmm, No. 139" pbc="T T T"
Pb -2.125 -5.557 1.237
Pb -3.368 -0.788 -1.029
Sb -2.196 -3.695 -1.298
Sb -3.297 -2.650 1.506
Br 0.000 0.000 0.000



| no. | final energy (eV/atom) | formation energy from raw total energies (kJ per mole of atoms) |
| --- | --- | --- |
| 1 | -42.367 | 7.09 |
| 2 | -49.326 | -20.95 |